1.
Zn2C (GGA-PBE, optimized geometry); offset from the most stable computed form = 104.0 kJ/mol of atoms; DOS at the Fermi energy = 1.05 states/eV per cell; calculated formation energy = 1.702 eV per atom
1.0
-2.193 1.019 -3.422
-1.996 -1.085 3.521
-0.022 2.512 0.762
Zn C
2 1
Cartesian
-2.072 0.872 1.587 Zn
-2.138 1.574 -0.727 Zn
0.000 0.000 0.000 C

***

2.
ZnC (GGA-PBE, optimized geometry); offset from the most stable computed form = 169.7 kJ/mol of atoms; DOS at the Fermi energy = 4.03 states/eV per cell; calculated formation energy = 1.840 eV per atom
1.0
-3.096 -2.578 -1.155
0.304 -2.008 3.666
-2.809 2.624 1.670
Zn C
3 3
Cartesian
0.152 -1.004 1.833 Zn
-1.404 1.312 0.835 Zn
-1.548 -1.289 -0.578 Zn
-2.952 0.023 0.258 C
-1.396 -2.293 1.256 C
-1.252 0.308 2.668 C

***

3.
Zn3C5 (GGA-PBE, optimized geometry); offset from the most stable computed form = 0.0 kJ/mol of atoms; calculated formation energy = 1.061 eV per atom
1.0
7.746 -0.054 0.651
4.751 5.220 0.973
2.980 -1.069 5.183
Zn C
6 10
Cartesian
7.460 2.016 4.127 Zn
7.220 0.176 1.173 Zn
8.047 -0.408 4.939 Zn
7.232 3.757 1.135 Zn
10.419 2.382 2.736 Zn
4.381 0.622 3.476 Zn
12.899 3.703 4.340 C
4.619 2.635 2.882 C
5.579 -0.461 4.968 C
9.864 4.810 2.741 C
6.148 2.886 2.935 C
9.405 1.492 4.339 C
6.070 0.668 5.306 C
9.062 4.011 2.151 C
10.228 0.619 5.008 C
5.212 3.880 2.173 C

***

4.
Zn4C3 (GGA-PBE, optimized geometry); offset from the most stable computed form = 0.0 kJ/mol of atoms; DOS at the Fermi energy = 3.37 states/eV per cell; calculated formation energy = 1.305 eV per atom
1.0
-1.457 1.457 9.642
1.457 -1.457 9.642
1.457 1.457 -9.642
Zn C
4 3
Cartesian
0.000 0.000 15.515 Zn
0.000 0.000 3.768 Zn
0.000 0.000 10.910 Zn
0.000 0.000 8.373 Zn
0.000 0.000 0.000 C
0.000 0.000 12.951 C
0.000 0.000 6.332 C

***

5.
ZnC2 (GGA-PBE, optimized geometry); offset from the most stable computed form = 147.8 kJ/mol of atoms; DOS at the Fermi energy = 1.26 states/eV per cell; calculated formation energy = 1.662 eV per atom
1.0
-1.804 1.804 4.084
1.804 -1.804 4.084
1.804 1.804 -4.084
Zn C
2 4
Cartesian
0.000 0.000 0.000 Zn
0.000 1.804 2.042 Zn
0.000 0.000 4.838 C
1.804 0.000 1.288 C
0.000 0.000 3.330 C
1.804 0.000 2.796 C

***

6.
ZnC2 (GGA-PBE, optimized geometry); offset from the most stable computed form = 103.6 kJ/mol of atoms; DOS at the Fermi energy = 0.76 states/eV per cell; calculated formation energy = 1.203 eV per atom
1.0
3.456 -4.314 0.000
3.456 4.314 0.000
0.000 0.000 7.434
Zn C
3 6
Cartesian
0.000 0.000 0.000 Zn
3.456 -1.208 3.717 Zn
3.456 1.208 3.717 Zn
4.128 -3.201 3.717 C
5.355 0.000 3.717 C
4.128 3.201 3.717 C
2.785 -3.201 3.717 C
1.558 0.000 3.717 C
2.785 3.201 3.717 C

***

7.
Zn2C (GGA-PBE, optimized geometry); offset from the most stable computed form = 43.1 kJ/mol of atoms; DOS at the Fermi energy = 5.46 states/eV per cell; calculated formation energy = 1.071 eV per atom
1.0
18.116 0.007 0.000
17.639 4.129 0.000
-17.878 -2.068 2.075
Zn C
8 4
Cartesian
27.715 3.206 0.000 Zn
8.041 0.930 0.000 Zn
0.778 1.134 1.037 Zn
16.861 2.995 1.037 Zn
21.048 2.435 0.000 Zn
14.708 1.701 0.000 Zn
12.228 0.370 1.037 Zn
5.888 -0.363 1.037 Zn
33.150 3.835 0.000 C
2.606 0.301 0.000 C
6.214 1.763 1.037 C
11.425 2.366 1.037 C

***

8.
ZnC2 (GGA-PBE, optimized geometry); offset from the most stable computed form = 104.1 kJ/mol of atoms; calculated formation energy = 1.209 eV per atom
1.0
-4.980 0.878 -0.965
0.817 -0.871 -5.007
-1.017 -4.997 0.703
Zn C
4 8
Cartesian
0.000 0.000 0.000 Zn
-2.081 0.004 -2.986 Zn
-2.998 -2.060 -0.131 Zn
-0.100 -2.934 -2.152 Zn
-2.814 -2.139 -3.110 C
-2.366 -2.851 -2.160 C
-0.177 -3.600 -4.318 C
-5.003 -1.389 -0.951 C
-2.150 -0.041 -0.720 C
-3.030 -4.948 -4.549 C
-5.220 -4.199 -2.391 C
0.040 -0.791 -2.879 C